{"formula": "HfPSeBr2", "functional": "GGA-PBE", "state": "relaxed", "cell": [[5.3724, 0.0000, 0.0000], [0.0000, 5.3724, 0.0000], [0.0000, 0.0000, 5.1319]], "species": ["P", "Hf", "Se", "Br", "Br"], "frac_coords": [[0.5000, 0.5000, 0.5000], [0.0000, 0.0000, 0.0000], [0.0000, 0.0000, 0.5000], [0.0000, 0.5000, 0.0000], [0.5000, 0.0000, 0.0000]], "e_form_raw_kj_per_mol_atoms": -12.1, "space_group": "No. 123", "relative_energy_kj_per_mol_atoms": 0.0, "n_ef_per_ev_atom": 0.23}

---

{"formula": "HfPSeBr2", "functional": "GGA-PBE", "state": "relaxed", "cell": [[-1.6211, -3.3959, 3.1454], [3.1928, -3.2333, -1.8453], [3.4988, 1.5010, 3.4237]], "species": ["P", "Hf", "Se", "Br", "Br"], "frac_coords": [[0.0000, 0.0000, 0.0000], [0.5000, 0.5000, 0.5000], [0.0000, 0.0000, 0.5000], [0.0000, 0.5000, 0.0000], [0.5000, 0.0000, 0.0000]], "e_form_raw_kj_per_mol_atoms": 53.8, "space_group": "No. 123", "relative_energy_kj_per_mol_atoms": 65.9, "n_ef_per_ev_atom": 0.91}

---

{"formula": "HfPaBr", "functional": "GGA-PBE", "state": "relaxed", "cell": [[1.1104, -3.4625, 1.1613], [3.9914, -1.4484, -8.1369], [5.0243, -1.3526, 3.7144]], "species": ["Pa", "Pa", "Hf", "Hf", "Br", "Br"], "frac_coords": [[0.2152, 0.1009, 0.0348], [0.7848, 0.8991, 0.9652], [0.7863, 0.8750, 0.4638], [0.2137, 0.1250, 0.5362], [0.5462, 0.3550, 0.2039], [0.4538, 0.6450, 0.7961]], "e_form_raw_kj_per_mol_atoms": -28.2, "space_group": "No. 11", "n_ef_per_ev_atom": 1.19}